Record 1
First-principles (PBE) data for a relaxed FeAgPt2 crystal, as listed in the Alexandria database.

Unit cell a=4.884 b=4.884 c=4.884 alpha=132.72 beta=132.69 gamma=69.11
Atoms (fractional coordinates):
Ag  0.500  0.500  0.000
Fe  0.250  0.750  0.500
Pt  0.000  0.000  0.000
Pt  0.750  0.250  0.500

Calculated values
ρ, Mg/m³: 14.90
Space-group type: I-4m2 (119)
Crystal system: tetragonal
Total DFT energy (no corrections), eV/atom: -5.84


Record 2
First-principles (PBE) data for a relaxed CuW2Au crystal, as listed in the Alexandria database.

Unit cell a=5.064 b=5.064 c=5.064 alpha=135.91 beta=136.16 gamma=63.93
Atoms (fractional coordinates):
Au  0.750  0.250  0.500
Cu  0.250  0.750  0.500
W  0.000  0.000  0.000
W  0.500  0.500  0.000

Calculated values
ρ, Mg/m³: 16.89
Relative energy among the computed polymorphs, eV/atom: 0.148
Space-group type: Immm (71)
Crystal system: orthorhombic
Total DFT energy (no corrections), eV/atom: -7.95


Record 3
First-principles (PBE) data for a relaxed SrErN crystal, as listed in the Alexandria database.

Unit cell a=3.549 b=3.547 c=13.116 alpha=90.00 beta=90.00 gamma=120.02
Atoms (fractional coordinates):
N  0.606  0.211  0.000
N  0.284  0.568  0.500
Er  0.616  0.232  0.389
Er  0.616  0.232  0.611
Sr  0.272  0.545  0.887
Sr  0.272  0.545  0.113

Calculated values
ρ, Mg/m³: 6.25
Energy relative to the elements, uncorrected, kJ/mol of atoms: -42.1
Space-group type: Amm2 (38)
Crystal system: orthorhombic
Total DFT energy (no corrections), eV/atom: -5.29


Record 4
First-principles (PBE) data for a relaxed Th2TeAs crystal, as listed in the Alexandria database.

Unit cell a=3.743 b=3.743 c=7.552 alpha=90.00 beta=90.00 gamma=90.00
Atoms (fractional coordinates):
As  0.500  0.500  0.000
Te  0.500  0.500  0.500
Th  0.000  0.000  0.765
Th  0.000  0.000  0.235

Calculated values
ρ, Mg/m³: 10.46
Energy relative to the elements, uncorrected, kJ/mol of atoms: -107.4
Relative energy among the computed polymorphs, eV/atom: 0.138
Space-group type: P4/mmm (123)
Crystal system: tetragonal
Total DFT energy (no corrections), eV/atom: -6.77


Record 5
First-principles (PBE) data for a relaxed Ca2MnSi3Au12 crystal, as listed in the Alexandria database.

Unit cell a=7.729 b=7.729 c=7.729 alpha=71.34 beta=71.34 gamma=71.34
Atoms (fractional coordinates):
Ca  0.601  0.601  0.601
Ca  0.399  0.399  0.399
Mn  0.000  0.000  0.000
Si  0.500  0.000  0.000
Si  0.000  0.500  0.000
Si  0.000  0.000  0.500
Au  0.308  0.308  0.851
Au  0.853  0.853  0.370
Au  0.370  0.853  0.853
Au  0.851  0.308  0.308
Au  0.853  0.370  0.853
Au  0.308  0.851  0.308
Au  0.692  0.692  0.149
Au  0.147  0.147  0.630
Au  0.630  0.147  0.147
Au  0.149  0.692  0.692
Au  0.147  0.630  0.147
Au  0.692  0.149  0.692

Calculated values
ρ, Mg/m³: 10.67
Energy relative to the elements, uncorrected, kJ/mol of atoms: -5.2
Space-group type: R-3m (166)
Crystal system: trigonal
Total DFT energy (no corrections), eV/atom: -3.87


Record 6
First-principles (PBE) data for a relaxed GdYBeAl crystal, as listed in the Alexandria database.

Unit cell a=5.014 b=5.014 c=5.014 alpha=60.00 beta=60.00 gamma=60.00
Atoms (fractional coordinates):
Y  0.250  0.250  0.250
Be  0.000  0.000  0.000
Gd  0.750  0.750  0.750
Al  0.500  0.500  0.500

Calculated values
ρ, Mg/m³: 5.26
Space-group type: F-43m (216)
Crystal system: cubic
Total DFT energy (no corrections), eV/atom: -7.13


Record 7
First-principles (PBE) data for a relaxed Ce2HfHg crystal, as listed in the Alexandria database.

Unit cell a=3.120 b=3.120 c=11.811 alpha=82.41 beta=82.41 gamma=60.00
Atoms (fractional coordinates):
Hf  0.000  0.000  0.000
Hg  0.500  0.500  0.500
Ce  0.085  0.085  0.744
Ce  0.915  0.915  0.256

Calculated values
ρ, Mg/m³: 11.13
Relative energy among the computed polymorphs, eV/atom: 0.213
Space-group type: R-3m (166)
Crystal system: trigonal
Total DFT energy (no corrections), eV/atom: -5.38


Record 8
First-principles (PBE) data for a relaxed Dy6TlAg crystal, as listed in the Alexandria database.

Unit cell a=6.912 b=6.912 c=6.897 alpha=103.55 beta=103.55 gamma=120.42
Atoms (fractional coordinates):
Dy  0.264  0.264  0.738
Dy  0.473  0.058  0.252
Dy  0.736  0.736  0.262
Dy  0.942  0.527  0.748
Dy  0.527  0.942  0.748
Dy  0.058  0.473  0.252
Tl  0.000  0.000  0.000
Ag  0.500  0.500  0.500

Calculated values
ρ, Mg/m³: 8.53
Relative energy among the computed polymorphs, eV/atom: 0.273
Space-group type: C2/m (12)
Crystal system: monoclinic
Total DFT energy (no corrections), eV/atom: -3.98


Record 9
First-principles (PBE) data for a relaxed La2Pm5Pr6 crystal, as listed in the Alexandria database.

Unit cell a=3.705 b=12.061 c=21.079 alpha=90.00 beta=90.00 gamma=90.00
Atoms (fractional coordinates):
La  0.000  0.327  0.282
La  0.000  0.673  0.718
La  0.000  0.827  0.218
La  0.000  0.173  0.782
Pm  0.500  0.300  0.444
Pm  0.500  0.700  0.556
Pm  0.500  0.800  0.056
Pm  0.500  0.200  0.944
Pm  0.500  0.586  0.280
Pm  0.500  0.414  0.720
Pm  0.500  0.086  0.220
Pm  0.500  0.914  0.780
Pm  0.500  0.500  0.000
Pm  0.500  0.000  0.500
Pr  0.000  0.077  0.364
Pr  0.000  0.923  0.636
Pr  0.000  0.577  0.136
Pr  0.000  0.423  0.864
Pr  0.500  0.319  0.127
Pr  0.500  0.681  0.873
Pr  0.500  0.819  0.373
Pr  0.500  0.181  0.627
Pr  0.000  0.561  0.424
Pr  0.000  0.439  0.576
Pr  0.000  0.061  0.076
Pr  0.000  0.939  0.924

Calculated values
ρ, Mg/m³: 6.52
Space-group type: Pbam (55)
Crystal system: orthorhombic
Total DFT energy (no corrections), eV/atom: -4.70


Record 10
First-principles (PBE) data for a relaxed BeCSe2 crystal, as listed in the Alexandria database.

Unit cell a=4.286 b=4.286 c=4.286 alpha=60.00 beta=60.00 gamma=60.00
Atoms (fractional coordinates):
Be  0.000  0.000  0.000
C  0.500  0.500  0.500
Se  0.250  0.250  0.250
Se  0.750  0.750  0.750

Calculated values
ρ, Mg/m³: 5.34
Energy relative to the elements, uncorrected, kJ/mol of atoms: 155.3
Relative energy among the computed polymorphs, eV/atom: 0.877
Space-group type: Fm-3m (225)
Crystal system: cubic
Total DFT energy (no corrections), eV/atom: -3.37


Record 11
First-principles (PBE) data for a relaxed Be2GaW2 crystal, as listed in the Alexandria database.

Unit cell a=5.957 b=5.957 c=3.435 alpha=90.00 beta=90.00 gamma=90.00
Atoms (fractional coordinates):
Be  0.382  0.882  0.000
Be  0.882  0.618  0.000
Be  0.618  0.118  0.000
Be  0.118  0.382  0.000
Ga  0.000  0.000  0.000
Ga  0.500  0.500  0.000
W  0.175  0.675  0.500
W  0.675  0.825  0.500
W  0.825  0.325  0.500
W  0.325  0.175  0.500

Calculated values
ρ, Mg/m³: 12.41
Space-group type: P4/mbm (127)
Crystal system: tetragonal
Total DFT energy (no corrections), eV/atom: -7.26


Record 12
First-principles (PBE) data for a relaxed CaIrCl crystal, as listed in the Alexandria database.

Unit cell a=8.007 b=4.175 c=4.318 alpha=90.00 beta=74.36 gamma=89.99
Atoms (fractional coordinates):
Ca  0.081  0.664  0.310
Ca  0.662  0.164  0.519
Ir  0.792  0.662  0.954
Ir  0.952  0.162  0.874
Cl  0.485  0.483  0.107
Cl  0.258  0.983  0.721

Calculated values
ρ, Mg/m³: 6.40
Energy relative to the elements, uncorrected, kJ/mol of atoms: -90.7
Relative energy among the computed polymorphs, eV/atom: 0.296
Space-group type: Cmc2_1 (36)
Crystal system: orthorhombic
Total DFT energy (no corrections), eV/atom: -5.18


Record 13
First-principles (PBE) data for a relaxed Zn2CrRu2 crystal, as listed in the Alexandria database.

Unit cell a=2.890 b=2.890 c=8.414 alpha=99.89 beta=99.89 gamma=90.00
Atoms (fractional coordinates):
Zn  0.802  0.802  0.605
Zn  0.198  0.198  0.395
Cr  0.000  0.000  0.000
Ru  0.593  0.593  0.185
Ru  0.407  0.407  0.815

Calculated values
ρ, Mg/m³: 9.38
Space-group type: I4/mmm (139)
Crystal system: tetragonal
Total DFT energy (no corrections), eV/atom: -6.15


Record 14
First-principles (PBE) data for a relaxed Ag2OsSe crystal, as listed in the Alexandria database.

Unit cell a=3.820 b=3.820 c=4.710 alpha=90.00 beta=90.00 gamma=90.00
Atoms (fractional coordinates):
Ag  0.000  0.000  0.000
Ag  0.500  0.500  0.000
Os  0.500  0.000  0.500
Se  0.000  0.500  0.500

Calculated values
ρ, Mg/m³: 11.72
Energy relative to the elements, uncorrected, kJ/mol of atoms: 77.6
Space-group type: P4/mmm (123)
Crystal system: tetragonal
Total DFT energy (no corrections), eV/atom: -4.30


Record 15
First-principles (PBE) data for a relaxed Nb4Ni2C crystal, as listed in the Alexandria database.

Unit cell a=8.297 b=8.297 c=8.297 alpha=60.00 beta=60.00 gamma=60.00
Atoms (fractional coordinates):
Nb  0.434  0.066  0.066
Nb  0.066  0.434  0.434
Nb  0.066  0.434  0.066
Nb  0.066  0.066  0.434
Nb  0.434  0.066  0.434
Nb  0.434  0.434  0.066
Nb  0.184  0.816  0.184
Nb  0.816  0.184  0.816
Nb  0.816  0.184  0.184
Nb  0.184  0.184  0.816
Nb  0.184  0.816  0.816
Nb  0.816  0.816  0.184
Nb  0.625  0.625  0.625
Nb  0.625  0.625  0.125
Nb  0.125  0.625  0.625
Nb  0.625  0.125  0.625
Ni  0.830  0.830  0.830
Ni  0.830  0.830  0.511
Ni  0.511  0.830  0.830
Ni  0.830  0.511  0.830
Ni  0.420  0.420  0.420
Ni  0.420  0.420  0.739
Ni  0.420  0.739  0.420
Ni  0.739  0.420  0.420
C  0.125  0.625  0.125
C  0.625  0.125  0.125
C  0.125  0.125  0.625
C  0.125  0.125  0.125

Calculated values
ρ, Mg/m³: 8.24
Space-group type: Fd-3m (227)
Crystal system: cubic
Total DFT energy (no corrections), eV/atom: -9.08


Record 16
First-principles (PBE) data for a relaxed Al5ZnAg4 crystal, as listed in the Alexandria database.

Unit cell a=2.961 b=8.799 c=8.943 alpha=129.32 beta=99.53 gamma=90.00
Atoms (fractional coordinates):
Al  0.819  0.698  0.639
Al  0.819  0.323  0.638
Al  0.181  0.677  0.362
Al  0.500  0.500  0.000
Al  0.181  0.302  0.361
Zn  0.500  0.000  0.000
Ag  0.340  0.072  0.680
Ag  0.976  0.719  0.952
Ag  0.660  0.928  0.320
Ag  0.024  0.281  0.048

Calculated values
ρ, Mg/m³: 5.96
Relative energy among the computed polymorphs, eV/atom: 0.000
Space-group type: C2/m (12)
Crystal system: monoclinic
Total DFT energy (no corrections), eV/atom: -3.09


Record 17
First-principles (PBE) data for a relaxed Pu2Au3 crystal, as listed in the Alexandria database.

Unit cell a=3.268 b=4.872 c=14.481 alpha=90.00 beta=96.48 gamma=90.00
Atoms (fractional coordinates):
Pu  0.287  0.750  0.574
Pu  0.713  0.250  0.426
Pu  0.573  0.750  0.146
Pu  0.427  0.250  0.854
Au  0.176  0.750  0.352
Au  0.824  0.250  0.648
Au  0.879  0.750  0.758
Au  0.121  0.250  0.242
Au  0.024  0.250  0.048
Au  0.976  0.750  0.952

Calculated values
ρ, Mg/m³: 15.64
Space-group type: Cmcm (63)
Crystal system: orthorhombic
Total DFT energy (no corrections), eV/atom: -8.12


Record 18
First-principles (PBE) data for a relaxed Er2ScPd crystal, as listed in the Alexandria database.

Unit cell a=3.531 b=3.531 c=9.691 alpha=79.50 beta=79.50 gamma=60.00
Atoms (fractional coordinates):
Er  0.071  0.071  0.788
Er  0.262  0.262  0.213
Sc  0.500  0.500  0.499
Pd  0.666  0.666  0.001

Calculated values
ρ, Mg/m³: 7.89
Relative energy among the computed polymorphs, eV/atom: 0.173
Space-group type: R3m (160)
Crystal system: trigonal
Total DFT energy (no corrections), eV/atom: -5.44


Record 19
First-principles (PBE) data for a relaxed Nd2AuI crystal, as listed in the Alexandria database.

Unit cell a=4.337 b=4.337 c=8.323 alpha=74.90 beta=74.90 gamma=60.00
Atoms (fractional coordinates):
I  0.500  0.500  0.500
Nd  0.735  0.735  0.794
Nd  0.265  0.265  0.206
Au  0.000  0.000  0.000

Calculated values
ρ, Mg/m³: 7.86
Energy relative to the elements, uncorrected, kJ/mol of atoms: -80.0
Relative energy among the computed polymorphs, eV/atom: 0.000
Space-group type: R-3m (166)
Crystal system: trigonal
Total DFT energy (no corrections), eV/atom: -4.42


Record 20
First-principles (PBE) data for a relaxed AgSbRu2 crystal, as listed in the Alexandria database.

Unit cell a=4.910 b=4.910 c=4.910 alpha=130.99 beta=130.99 gamma=71.83
Atoms (fractional coordinates):
Ag  0.750  0.250  0.500
Ru  0.000  0.000  0.000
Ru  0.250  0.750  0.500
Sb  0.500  0.500  0.000

Calculated values
ρ, Mg/m³: 10.87
Energy relative to the elements, uncorrected, kJ/mol of atoms: 41.2
Space-group type: I-4m2 (119)
Crystal system: tetragonal
Total DFT energy (no corrections), eV/atom: -5.95


Record 21
First-principles (PBE) data for a relaxed K2LaPd9 crystal, as listed in the Alexandria database.

Unit cell a=5.471 b=5.471 c=9.673 alpha=73.57 beta=73.57 gamma=60.00
Atoms (fractional coordinates):
K  0.855  0.855  0.434
K  0.145  0.145  0.566
La  0.000  0.000  0.000
Pd  0.667  0.667  0.998
Pd  0.333  0.333  0.002
Pd  0.500  0.500  0.500
Pd  0.419  0.419  0.244
Pd  0.919  0.419  0.244
Pd  0.419  0.919  0.244
Pd  0.581  0.581  0.756
Pd  0.581  0.081  0.756
Pd  0.081  0.581  0.756

Calculated values
ρ, Mg/m³: 8.23
Space-group type: R-3m (166)
Crystal system: trigonal
Total DFT energy (no corrections), eV/atom: -4.76


Record 22
First-principles (PBE) data for a relaxed Zr2VB2 crystal, as listed in the Alexandria database.

Unit cell a=6.285 b=6.285 c=3.463 alpha=90.00 beta=90.00 gamma=90.00
Atoms (fractional coordinates):
B  0.398  0.898  0.000
B  0.898  0.602  0.000
B  0.602  0.102  0.000
B  0.102  0.398  0.000
Zr  0.183  0.683  0.500
Zr  0.683  0.817  0.500
Zr  0.817  0.317  0.500
Zr  0.317  0.183  0.500
V  0.000  0.000  0.000
V  0.500  0.500  0.000

Calculated values
ρ, Mg/m³: 6.19
Space-group type: P4/mbm (127)
Crystal system: tetragonal
Total DFT energy (no corrections), eV/atom: -8.42